A plane-wave DFT calculation with PBE was carried out for crystalline Ac2PrCo at its relaxed geometry.

Its energy above the lowest structure with this stoichiometry is 58 kJ/mol of formula units. For the magnetization, the calculation gives 1.49 μB/f.u. The calculation puts the density of states at the Fermi level at 1.43 states/eV/atom. The calculation puts the density at 8.3 g cm⁻³. The formation energy is 0.55 eV per formula unit.

It has space group P4/mmm (No. 123), with a = 3.7257 Å, b = 3.7257 Å, c = 9.4677 Å, α = 90.00°, β = 90.00° and γ = 90.00°. The distinct sites, in fractional coordinates, are Ac at (0.0000, 0.0000, 0.1887), Pr at (0.5000, 0.5000, 0.5000) and Co at (0.5000, 0.5000, 0.0000).